No. 1
Crystalline Mg2Mo2W at its relaxed geometry. Source: Alexandria via LeMat-Bulk, functional PBE.

Results
Total DFT energy (no corrections): -0.2392 Ha/atom
Crystal system: tetragonal
ρ: 7991 kg/m³
Spin magnetization: 0.00 Bohr magnetons per cell

Cell lengths 7.0378, 7.0378, 7.0378 Å; angles 149.76, 149.76, 43.29 degrees
Closest atoms and distances in Å follow each position.
Sites, in units of the cell vectors:
Mg  0.0933  0.0933  0.0000  1 Mg 2.44
Mg  0.9067  0.9067  0.0000  1 Mg 2.44
Mo  0.2500  0.7500  0.5000  4 Mo 2.60, 4 Mg 2.75
Mo  0.7500  0.2500  0.5000  4 Mo 2.60, 4 Mg 2.75
W  0.5000  0.5000  0.0000  8 Mg 2.87

***

No. 2
Crystalline MgMoW2 at its relaxed geometry. Source: Alexandria via LeMat-Bulk, functional PBE.

Results
Total DFT energy (no corrections): -0.3360 Ha/atom
Crystal system: tetragonal
ρ: 12043 kg/m³
Spin magnetization: 0.00 Bohr magnetons per cell

Cell lengths 2.6799, 2.6799, 9.3675 Å; angles 90.00, 90.00, 90.00 degrees
Closest atoms and distances in Å follow each position.
Sites, in units of the cell vectors:
Mg  0.0000  0.0000  0.0000  4 Mg 2.68
Mo  0.5000  0.5000  0.2541  4 Mo 2.68, 4 W 2.98
W  0.0000  0.0000  0.4999  8 W 2.68-2.99, 4 Mo 2.98
W  0.5000  0.5000  0.7468  8 W 2.68-2.99

***

No. 3
Crystalline Mg2MoW at its relaxed geometry. Source: Alexandria via LeMat-Bulk, functional PBE.

Results
Total DFT energy (no corrections): -0.2321 Ha/atom
Crystal system: orthorhombic
ρ: 7758 kg/m³
Spin magnetization: 0.00 Bohr magnetons per cell

Cell lengths 2.7277, 4.3372, 5.9415 Å; angles 90.00, 90.00, 90.00 degrees
Closest atoms and distances in Å follow each position.
Sites, in units of the cell vectors:
Mg  0.0000  0.0000  0.0000  6 Mg 2.73-2.96, 1 Mo 2.84, 4 W 3.02
Mg  0.5000  0.5000  0.2490  6 Mg 2.73-2.96, 1 W 2.86, 4 Mo 3.03
Mo  0.0000  0.0000  0.5212  2 Mo 2.73, 5 Mg 2.84-3.03, 4 W 2.85
W  0.5000  0.5000  0.7305  2 W 2.73, 4 Mo 2.85, 5 Mg 2.86-3.02

***

No. 4
Crystalline Mg2MoW at its relaxed geometry. Source: Alexandria via LeMat-Bulk, functional PBE.

Results
Total DFT energy (no corrections): -0.2339 Ha/atom
Crystal system: orthorhombic
ρ: 7992 kg/m³
Spin magnetization: 0.00 Bohr magnetons per cell

Cell lengths 2.7157, 2.7157, 9.4275 Å; angles 90.00, 90.00, 101.08 degrees
Closest atoms and distances in Å follow each position.
Sites, in units of the cell vectors:
Mg  0.0000  0.0000  0.2499  4 Mg 2.72, 2 Mo 2.92, 2 W 2.92
Mg  0.0000  0.0000  0.7501  4 Mg 2.72, 2 Mo 2.92, 2 W 2.92
Mo  0.5000  0.5000  0.0000  4 Mo 2.72, 4 Mg 2.92
W  0.5000  0.5000  0.5000  4 W 2.72, 4 Mg 2.92

***

| no. | E_form (kJ/mol of formula units) |
| --- | --- |
| 1 | 507 |
| 2 | 169 |
| 3 | 165 |
| 4 | 146 |